TaSnO2F: optimized geometry, PBEsol.

M_tot, μB/cell: 0.00
Calculated total energy, eV per formula unit: -38.087
Density of states at the Fermi level, states/eV/f.u.: 2.85
Theoretical density, Mg/m³: 8.443
Space group: No. 123
V, Å³ per cell: 69

Cell lengths 4.007, 4.007, 4.295 Å; angles 90.00, 90.00, 90.00 degrees
Positions (direct):
F: 0.000 0.000 0.500
Sn: 0.500 0.500 0.500
O: 0.000 0.500 0.000
O: 0.500 0.000 0.000
Ta: 0.000 0.000 0.000

=====

Sr2MnAlNi: optimized geometry, PBEsol.

M_tot, μB/cell: 3.82
DFT formation energy, meV/atom: 693
Calculated total energy, eV per formula unit: -20.228
Density of states at the Fermi level, states/eV/f.u.: 5.37
Theoretical density, Mg/m³: 3.641
Space group: No. 123
V, Å³ per cell: 144

Cell lengths 4.298, 5.789, 5.789 Å; angles 90.00, 90.00, 90.00 degrees
Each line ends with the local moment (μB).
Positions (direct):
Sr: 0.000 0.000 0.500  -0.01
Sr: 0.000 0.500 0.000  -0.01
Mn: 0.000 0.000 0.000  3.35
Al: 0.500 0.500 0.500  -0.01
Ni: 0.500 0.000 0.000  0.62

=====

Pr6Ge3S14: optimized geometry, PBEsol.

M_tot, μB/cell: 0.00
Calculated total energy, eV per formula unit: -142.327
Theoretical density, Mg/m³: 4.869
Space group: No. 143
V, Å³ per cell: 516

Cell lengths 5.731, 10.194, 10.194 Å; angles 120.00, 90.00, 90.00 degrees
Positions (direct):
Pr: 0.243 0.691 0.792
Pr: 0.243 0.208 0.899
Pr: 0.243 0.101 0.309
Pr: 0.752 0.975 0.540
Pr: 0.752 0.460 0.434
Pr: 0.752 0.566 0.025
Ge: 0.824 0.000 0.000
Ge: 0.333 0.667 0.333
Ge: 0.486 0.333 0.667
S: 0.981 0.851 0.079
S: 0.981 0.921 0.772
S: 0.981 0.228 0.149
S: 0.487 0.815 0.253
S: 0.487 0.747 0.562
S: 0.487 0.438 0.185
S: 0.444 0.000 0.000
S: 0.952 0.667 0.333
S: 0.729 0.589 0.758
S: 0.729 0.242 0.831
S: 0.729 0.169 0.411
S: 0.241 0.077 0.578
S: 0.241 0.422 0.499
S: 0.241 0.501 0.923

=====

Among the records above, which one has the lowest calculated total energy?
Pr6Ge3S14